# Ca2SnMoO6 (GGA+U, optimized geometry)
# Fermi-level density of states in states/eV/f.u.: 0.000
# Magnetic moment in μB/cell: 4.00
# E in eV per cell: -135.19
data_Ca2SnMoO6
_chemical_formula_sum 'Ca4 Sn2 Mo2 O12'
_cell_length_a 5.542
_cell_length_b 5.787
_cell_length_c 9.644
_cell_angle_alpha 90.00
_cell_angle_beta 124.68
_cell_angle_gamma 90.00
_symmetry_space_group_name_H-M 'P 1 21/c 1'
_symmetry_Int_Tables_number 14
loop_
_symmetry_equiv_pos_as_xyz
'x,y,z'
'-x,-y,-z'
'-x,y+1/2,-z+1/2'
'x,-y+1/2,z+1/2'
loop_
_atom_site_label
_atom_site_type_symbol
_atom_site_fract_x
_atom_site_fract_y
_atom_site_fract_z
Ca1 Ca 0.235 0.054 0.250
Sn1 Sn 0.500 0.000 0.000
Mo1 Mo 0.000 0.000 0.500
O1 O 0.143 0.196 0.944
O2 O 0.247 0.698 0.947
O3 O 0.352 0.042 0.746